Here is a relaxed Ac8In3Ni crystal from Alexandria. Energies are from PBE.

Output
- ρ: 7.64 g/cm3
- ΔH_f (0 K): -89.5 meV per atom

a b c (Å): 7.848 7.848 15.665
angles (deg): 90.00 90.00 90.00
Space group I4/mmm (No. 139)
Asymmetric unit:
1 Ac 0.237 0.237 0.119
2 In 0.000 0.000 0.500
3 In 0.000 0.500 0.250
4 Ni 0.000 0.000 0.000

---

Here is a relaxed Sc2TaAlRe crystal from Alexandria. Energies are from PBE.

Output
- ρ: 7.10 g/cm3
- ΔH_f (0 K): 1638.8 meV per atom

a b c (Å): 4.843 4.843 4.828
angles (deg): 90.00 90.00 90.00
Space group P4/mmm (No. 123)
Asymmetric unit:
1 Sc 0.000 0.500 0.000
2 Ta 0.000 0.000 0.000
3 Al 0.000 0.000 0.500
4 Re 0.500 0.500 0.500

---

Here is a relaxed CdBiPt6 crystal from Alexandria. Energies are from PBE.

Output
- ρ: 18.00 g/cm3
- ΔH_f (0 K): -156.2 meV per atom

a b c (Å): 4.089 4.089 8.231
angles (deg): 90.00 90.00 90.00
Space group P4/mmm (No. 123)
Asymmetric unit:
1 Cd 0.000 0.000 0.000
2 Bi 0.000 0.000 0.500
3 Pt 0.000 0.500 0.242
4 Pt 0.500 0.500 0.000
5 Pt 0.500 0.500 0.500

---

Here is a relaxed BeIn2OsBr crystal from Alexandria. Energies are from PBE.

Output
- Uncorrected formation energy: 0.98 eV per atom
- Excess energy over the best structure of this formula in the dataset: 0 meV per atom
- ρ: 5.98 g/cm3

a b c (Å): 5.256 5.256 5.117
angles (deg): 90.00 90.00 90.00
Space group P4/mmm (No. 123)
Asymmetric unit:
1 Be 0.000 0.000 0.000
2 In 0.000 0.500 0.500
3 Os 0.500 0.500 0.500
4 Br 0.500 0.500 0.000

---

Here is a relaxed Pa4Ga12Si crystal from Alexandria. Energies are from PBE.

Output
- Uncorrected formation energy: -0.30 eV per atom
- ρ: 9.05 g/cm3

a b c (Å): 8.693 8.693 8.693
angles (deg): 90.00 90.00 90.00
Space group Im-3m (No. 229)
Asymmetric unit:
1 Pa 0.250 0.250 0.250
2 Ga 0.000 0.000 0.296
3 Ga 0.000 0.250 0.500
4 Si 0.000 0.000 0.000

---

Here is a relaxed HgMo2Os crystal from Alexandria. Energies are from PBE.

Output
- ρ: 14.58 g/cm3
- ΔH_f (0 K): 278.6 meV per atom

a b c (Å): 2.847 2.847 8.187
angles (deg): 90.00 90.00 90.00
Space group P4/mmm (No. 123)
Asymmetric unit:
1 Hg 0.000 0.000 0.000
2 Mo 0.500 0.500 0.277
3 Os 0.000 0.000 0.500